Computed, not measured: a relaxed structure of SmAgSn2Se4 at the GGA-PBE level of DFT.

```
SmAgSn2Se4
1.0
4.223 0.000 0.000
0.000 7.483 -0.201
0.000 2.584 6.694
Sm Ag Sn Se
1 1 2 4
Direct
0.000 0.500 0.500
0.500 0.500 0.000
0.000 0.000 0.000
0.500 0.000 0.500
0.000 0.738 0.754
0.000 0.262 0.246
0.500 0.742 0.257
0.500 0.258 0.743
```

total DFT energy (no corrections): -35.6 eV/cell
density of states at the Fermi level: 0.04 states/eV/f.u.